Entry 1:
Below is a geometry-optimized Tb3Pr2Pt4 structure, with properties calculated at the GGA-PBE level.

POSCAR file:
```
Tb3Pr2Pt4
1.0
-2.425 7.578 -0.190
-5.763 -4.414 2.419
2.339 0.931 7.270
Tb Pr Pt
6 4 8
direct
0.000 0.500 0.500 Tb
0.500 0.500 0.000 Tb
0.749 0.244 0.836 Tb
0.751 0.756 0.336 Tb
0.251 0.756 0.164 Tb
0.249 0.244 0.664 Tb
0.586 0.198 0.324 Pr
0.914 0.802 0.824 Pr
0.414 0.802 0.676 Pr
0.086 0.198 0.176 Pr
0.867 0.093 0.538 Pt
0.633 0.907 0.038 Pt
0.133 0.907 0.462 Pt
0.367 0.093 0.962 Pt
0.873 0.499 0.134 Pt
0.627 0.501 0.634 Pt
0.127 0.501 0.866 Pt
0.373 0.499 0.366 Pt
```

The spin magnetization is 0.000 μB/atom. As for the symmetry: No. 14. The value obtained for the formation energy from the elements is -1.123 eV per atom. For the energy above the most stable polymorph in this dataset, the calculation gives 0.000 eV/atom.

=====

Entry 2:
Below is a geometry-optimized TbPr3Pt2 structure, with properties calculated at the GGA-PBE level.

POSCAR file:
```
TbPr3Pt2
1.0
-3.496 -1.764 2.645
2.897 -3.441 1.544
2.447 6.981 3.650
Tb Pr Pt
1 3 2
direct
0.000 0.000 0.000 Tb
0.500 0.500 0.000 Pr
0.813 0.313 0.626 Pr
0.187 0.687 0.374 Pr
0.374 0.875 0.748 Pt
0.626 0.125 0.252 Pt
```

The spin magnetization is 0.000 μB/atom. As for the symmetry: No. 2. The value obtained for the formation energy from the elements is -0.717 eV per atom.

=====

Entry 3:
Below is a geometry-optimized Tb3PrPt structure, with properties calculated at the GGA-PBE level.

POSCAR file:
```
Tb3PrPt
1.0
5.523 0.000 0.000
0.000 5.523 0.000
0.000 0.000 5.523
Pr Tb Pt
1 3 1
direct
0.500 0.500 0.500 Pr
0.000 0.500 0.000 Tb
0.000 0.000 0.500 Tb
0.500 0.000 0.000 Tb
0.000 0.000 0.000 Pt
```

The spin magnetization is 0.000 μB/atom. As for the symmetry: No. 221. The value obtained for the formation energy from the elements is -0.368 eV per atom. For the energy above the most stable polymorph in this dataset, the calculation gives 0.044 eV/atom.

=====

Entry 4:
Below is a geometry-optimized Tb3Pr2Pt2 structure, with properties calculated at the GGA-PBE level.

POSCAR file:
```
Tb3Pr2Pt2
1.0
3.804 0.000 0.000
-1.902 6.288 -0.515
0.000 -3.537 8.503
Tb Pr Pt
3 2 2
direct
0.500 0.000 0.000 Tb
0.617 0.234 0.436 Tb
0.383 0.766 0.564 Tb
0.840 0.679 0.187 Pr
0.160 0.321 0.813 Pr
0.833 0.666 0.758 Pt
0.167 0.334 0.242 Pt
```

The spin magnetization is 0.000 μB/atom. As for the symmetry: No. 12. The value obtained for the formation energy from the elements is -0.754 eV per atom.

=====

Entry 5:
Below is a geometry-optimized Tb2PrPt structure, with properties calculated at the GGA-PBE level.

POSCAR file:
```
Tb2PrPt
1.0
3.890 0.000 0.000
1.945 3.369 0.000
1.945 1.123 9.517
Pr Tb Pt
1 2 1
direct
0.500 0.500 0.500 Pr
0.274 0.274 0.179 Tb
0.726 0.726 0.821 Tb
0.000 0.000 0.000 Pt
```

The spin magnetization is 0.000 μB/atom. As for the symmetry: No. 166. The value obtained for the formation energy from the elements is -0.515 eV per atom. For the energy above the most stable polymorph in this dataset, the calculation gives 0.157 eV/atom.

=====

Entry 6:
Below is a geometry-optimized TbPrPt2 structure, with properties calculated at the GGA-PBE level.

POSCAR file:
```
TbPrPt2
1.0
5.058 0.000 0.000
2.529 4.380 0.000
2.529 1.460 4.130
Pr Tb Pt
1 1 2
direct
0.500 0.500 0.500 Pr
0.000 0.000 0.000 Tb
0.250 0.250 0.250 Pt
0.750 0.750 0.750 Pt
```

The spin magnetization is 0.000 μB/atom. As for the symmetry: No. 225. The value obtained for the formation energy from the elements is -1.084 eV per atom. For the energy above the most stable polymorph in this dataset, the calculation gives 0.100 eV/atom.

=====

Entry 7:
Below is a geometry-optimized TbPr2Pt structure, with properties calculated at the GGA-PBE level.

POSCAR file:
```
TbPr2Pt
1.0
-2.969 1.115 -2.121
-3.535 -1.077 0.950
-3.217 8.837 5.715
Pr Tb Pt
2 1 1
direct
0.108 0.108 0.675 Pr
0.892 0.892 0.325 Pr
0.000 0.000 0.000 Tb
0.500 0.500 0.500 Pt
```

The spin magnetization is 0.000 μB/atom. As for the symmetry: No. 166. The value obtained for the formation energy from the elements is -0.212 eV per atom. For the energy above the most stable polymorph in this dataset, the calculation gives 0.417 eV/atom.

=====

Entry 8:
Below is a geometry-optimized TbPr2Pt structure, with properties calculated at the GGA-PBE level.

POSCAR file:
```
TbPr2Pt
1.0
6.623 0.000 0.000
0.000 7.211 0.000
0.000 0.000 10.140
Tb Pr Pt
4 8 4
direct
0.648 0.532 0.250 Tb
0.852 0.032 0.250 Tb
0.352 0.468 0.750 Tb
0.148 0.968 0.750 Tb
0.175 0.681 0.062 Pr
0.325 0.181 0.438 Pr
0.825 0.319 0.562 Pr
0.675 0.819 0.938 Pr
0.825 0.319 0.938 Pr
0.675 0.819 0.562 Pr
0.175 0.681 0.438 Pr
0.325 0.181 0.062 Pr
0.050 0.383 0.250 Pt
0.450 0.883 0.250 Pt
0.950 0.617 0.750 Pt
0.550 0.117 0.750 Pt
```

The spin magnetization is 0.000 μB/atom. As for the symmetry: No. 62. The value obtained for the formation energy from the elements is -0.629 eV per atom. For the energy above the most stable polymorph in this dataset, the calculation gives 0.000 eV/atom.

=====

Question: Which of these has the highest formation energy from the elements?
Answer: number 7

=====

Question: Look up the spin magnetization of the eighth one.
Answer: 0.000 μB/atom

=====

Question: Which of these has the highest formation energy from the elements?
Answer: number 7

=====

Question: Look up the spin magnetization of the first one.
Answer: 0.000 μB/atom